Here is crystalline MoRh2 at its relaxed geometry from the Alexandria database. Energies are from PBEsol.

Geometry as CIF:
```
data_MoRh2
_chemical_formula_sum 'Mo2 Rh4'
_space_group_name_H-M_alt 'P 1'
_space_group_IT_number 1
_cell_length_a 2.7263
_cell_length_b 2.7263
_cell_length_c 11.3078
_cell_angle_alpha 90.00
_cell_angle_beta 90.00
_cell_angle_gamma 90.00
loop_
_space_group_symop_operation_xyz
'x,y,z'
loop_
_atom_site_label
_atom_site_type_symbol
_atom_site_fract_x
_atom_site_fract_y
_atom_site_fract_z
Mo1 Mo 0.0000 0.0000 0.0000
Mo2 Mo 0.5000 0.5000 0.5000
Rh1 Rh 0.0000 0.0000 0.3369
Rh2 Rh 0.0000 0.0000 0.6631
Rh3 Rh 0.5000 0.5000 0.1631
Rh4 Rh 0.5000 0.5000 0.8369
```

Calculated values
Magnetic moment   0.0 μB per cell
Calculated formation energy   -0.17 eV per atom